NaSe3S: relaxed, PBE.

Geometry as extended XYZ:
```
5
Lattice="5.132 0.000 0.000 0.000 5.132 0.000 0.000 0.000 5.132" Properties=species:S:1:pos:R:3 pbc="T T T"
Na 0.000 0.000 0.000
S 2.566 2.566 2.566
Se 0.000 2.566 0.000
Se 0.000 0.000 2.566
Se 2.566 0.000 0.000
```

Results
Uncorrected formation energy (eV/atom): 1.09
Relative energy among the computed polymorphs (eV per atom): 1.015
Space-group type: Pm-3m


NaSe2S: relaxed, PBE.

Geometry as extended XYZ:
```
4
Lattice="2.028 0.000 9.003 -1.014 1.757 9.003 -1.014 -1.757 9.003" Properties=species:S:1:pos:R:3 pbc="T T T"
Na 0.000 0.000 13.504
S 0.000 0.000 0.000
Se 0.000 0.000 24.686
Se 0.000 0.000 2.323
```

Results
Uncorrected formation energy (eV/atom): 0.10
Space-group type: R-3m


Na6Se2S: relaxed, PBE.

Geometry as extended XYZ:
```
9
Lattice="4.536 0.000 -1.466 -0.999 5.930 -3.092 0.162 0.474 8.250" Properties=species:S:1:pos:R:3 pbc="T T T"
Na 3.826 0.808 4.077
Na 0.382 2.577 1.189
Na -0.126 5.596 -0.386
Na 2.027 1.430 -1.479
Na 3.317 3.827 2.503
Na 1.510 4.499 -3.080
Se 1.291 2.297 3.988
Se 2.408 4.107 -0.296
S 0.000 0.000 0.000
```

Results
Uncorrected formation energy (eV/atom): -1.06
Space-group type: Immm


Na4SeS: relaxed, PBE.

Geometry as extended XYZ:
```
12
Lattice="-5.646 1.430 -3.335 -1.557 -6.527 -0.171 0.333 3.177 7.556" Properties=species:S:1:pos:R:3 pbc="T T T"
Na -5.688 3.033 4.179
Na -4.896 -0.591 1.164
Na -3.671 -1.062 5.758
Na -1.197 1.934 2.975
Na -5.673 -3.855 1.076
Na -3.199 -0.859 -1.707
Na -1.974 -1.330 2.886
Na -1.182 -4.954 -0.129
Se -3.007 -2.749 0.531
Se -3.863 0.828 3.519
S -1.818 -3.150 5.101
S -5.052 1.229 -1.050
```

Results
Uncorrected formation energy (eV/atom): -1.06
Space-group type: I4_1/amd


Na2SeS2: relaxed, PBE.

Geometry as extended XYZ:
```
10
Lattice="-0.637 -3.331 1.885 -1.836 -2.969 -5.869 8.842 -0.775 -2.374" Properties=species:S:1:pos:R:3 pbc="T T T"
Na 0.151 -0.925 -1.584
Na 2.324 -2.508 -3.647
Na 4.863 -3.245 -0.096
Na 6.209 -6.164 -4.802
Se 0.334 -4.971 -4.679
Se 5.512 -2.949 -3.349
S -0.241 -3.762 -2.736
S 2.965 -1.200 -1.118
S 3.953 -4.987 -3.484
S 7.185 -2.384 -1.784
```

Results
Uncorrected formation energy (eV/atom): -0.52
Space-group type: Cmc2_1


Na2Se2S3: relaxed, PBE.

Geometry as extended XYZ:
```
7
Lattice="4.250 0.000 -1.175 -0.427 5.874 -1.545 -0.389 0.358 6.865" Properties=species:S:1:pos:R:3 pbc="T T T"
Na 1.121 2.095 4.055
Na 2.312 4.137 0.091
Se 0.268 1.202 0.971
Se 3.165 5.030 3.175
S -0.214 2.937 -0.772
S 2.632 1.280 1.248
S 0.801 4.952 2.898
```

Results
Uncorrected formation energy (eV/atom): -0.38
Space-group type: C2/m


NaSe2S: relaxed, PBE.

Geometry as extended XYZ:
```
8
Lattice="-3.433 -4.847 -0.584 3.744 -2.156 -4.118 3.724 -6.616 2.525" Properties=species:S:1:pos:R:3 pbc="T T T"
Na 0.155 -3.501 -2.351
Na 3.811 -6.137 -1.972
S 0.000 0.000 0.000
S 0.223 -7.482 -0.205
Se -1.032 -5.355 -0.297
Se 3.127 -3.205 -1.967
Se 2.598 -7.409 0.473
Se 3.375 -11.269 -2.562
```

Results
Uncorrected formation energy (eV/atom): -0.08
Space-group type: I-42d


Na2SeS3: relaxed, PBE.

Geometry as extended XYZ:
```
12
Lattice="5.822 0.000 0.000 0.000 7.499 -0.001 -2.911 -1.878 6.142" Properties=species:S:1:pos:R:3 pbc="T T T"
Na 2.940 3.744 2.096
Na 2.882 -0.006 2.097
Na 0.029 5.627 4.044
Na -0.029 1.877 4.044
Se 5.487 5.624 0.000
Se 0.335 1.875 0.000
S 2.521 1.875 0.000
S 3.301 5.624 0.000
S -0.019 0.001 1.754
S 2.892 1.870 4.387
S 0.019 3.751 1.753
S 2.930 5.620 4.387
```

Results
Uncorrected formation energy (eV/atom): -0.49
Relative energy among the computed polymorphs (eV per atom): 0.025
Space-group type: C2/c